An optimized crystal structure of LaPm3Cd, computed with PBE.

Properties
magnetization = 0.00 μB/f.u.
crystal system = monoclinic
calculated formation energy = 0.24 eV/f.u.

Structure (CIF):
```
data_LaPm3Cd
_chemical_formula_sum 'La2 Pm6 Cd2'
_cell_length_a 3.853
_cell_length_b 9.780
_cell_length_c 9.485
_cell_angle_alpha 90.00
_cell_angle_beta 101.67
_cell_angle_gamma 90.00
_space_group_name_H-M_alt 'P 1 21/m 1'
_space_group_IT_number 11
_space_group_name_Hall '-P 2yb'
loop_
_atom_site_label
_atom_site_type_symbol
_atom_site_fract_x
_atom_site_fract_y
_atom_site_fract_z
_atom_site_occupancy
La1 La 0.019 0.250 0.034 1
Pm1 Pm 0.206 0.250 0.412 1
Pm2 Pm 0.395 0.008 0.791 1
Cd1 Cd 0.163 0.750 0.324 1
```

An optimized crystal structure of La14PmCd, computed with PBE.

Properties
magnetization = 0.00 μB/f.u.
crystal system = orthorhombic
calculated formation energy = -0.53 eV/f.u.

Structure (CIF):
```
data_La14PmCd
_chemical_formula_sum 'La28 Pm2 Cd2'
_cell_length_a 10.481
_cell_length_b 10.374
_cell_length_c 10.374
_cell_angle_alpha 90.00
_cell_angle_beta 90.00
_cell_angle_gamma 90.00
_space_group_name_H-M_alt 'A m m 2'
_space_group_IT_number 38
_space_group_name_Hall 'A 2 -2'
loop_
_atom_site_label
_atom_site_type_symbol
_atom_site_fract_x
_atom_site_fract_y
_atom_site_fract_z
_atom_site_occupancy
La1 La 0.000 0.000 0.000 1
La2 La 0.000 0.000 0.498 1
La3 La 0.000 0.248 0.249 1
La4 La 0.253 0.000 0.744 1
La5 La 0.255 0.245 0.499 1
La6 La 0.257 0.000 0.254 1
La7 La 0.500 0.247 0.748 1
Pm1 Pm 0.500 0.000 0.999 1
Cd1 Cd 0.500 0.000 0.499 1
```

An optimized crystal structure of La2Pm3Cd3, computed with PBE.

Properties
magnetization = 0.00 μB/f.u.
crystal system = orthorhombic
calculated formation energy = -1.79 eV/f.u.

Structure (CIF):
```
data_La2Pm3Cd3
_chemical_formula_sum 'La4 Pm6 Cd6'
_cell_length_a 3.894
_cell_length_b 5.501
_cell_length_c 22.848
_cell_angle_alpha 90.00
_cell_angle_beta 90.00
_cell_angle_gamma 90.00
_space_group_name_H-M_alt 'I m m m'
_space_group_IT_number 71
_space_group_name_Hall '-I 2 2'
loop_
_atom_site_label
_atom_site_type_symbol
_atom_site_fract_x
_atom_site_fract_y
_atom_site_fract_z
_atom_site_occupancy
La1 La 0.000 0.000 0.233 1
Pm1 Pm 0.000 0.000 0.000 1
Pm2 Pm 0.000 0.500 0.120 1
Cd1 Cd 0.000 0.000 0.500 1
Cd2 Cd 0.000 0.500 0.386 1
```

An optimized crystal structure of La7Pm3Cd, computed with PBE.

Properties
magnetization = 0.00 μB/f.u.
crystal system = monoclinic
calculated formation energy = 1.72 eV/f.u.

Structure (CIF):
```
data_La7Pm3Cd
_chemical_formula_sum 'La14 Pm6 Cd2'
_cell_length_a 11.672
_cell_length_b 10.548
_cell_length_c 6.554
_cell_angle_alpha 90.00
_cell_angle_beta 91.61
_cell_angle_gamma 90.00
_space_group_name_H-M_alt 'C 1 2/m 1'
_space_group_IT_number 12
_space_group_name_Hall '-C 2y'
loop_
_atom_site_label
_atom_site_type_symbol
_atom_site_fract_x
_atom_site_fract_y
_atom_site_fract_z
_atom_site_occupancy
La1 La 0.000 0.000 0.000 1
La2 La 0.213 0.172 0.719 1
La3 La 0.240 0.500 0.799 1
Pm1 Pm 0.000 0.335 0.000 1
Pm2 Pm 0.000 0.500 0.500 1
Cd1 Cd 0.000 0.000 0.500 1
```

An optimized crystal structure of La3PmCd8, computed with PBE.

Properties
magnetization = 0.00 μB/f.u.
crystal system = trigonal
calculated formation energy = -3.86 eV/f.u.

Structure (CIF):
```
data_La3PmCd8
_chemical_formula_sum 'La3 Pm1 Cd8'
_cell_length_a 6.1451
_cell_length_b 6.1451
_cell_length_c 9.5700
_cell_angle_alpha 90.00
_cell_angle_beta 90.00
_cell_angle_gamma 120.00
_space_group_name_H-M_alt 'P 3 m 1'
_space_group_IT_number 156
_space_group_name_Hall 'P 3 -2"'
loop_
_atom_site_label
_atom_site_type_symbol
_atom_site_fract_x
_atom_site_fract_y
_atom_site_fract_z
_atom_site_occupancy
La1 La 0.0000 0.0000 0.0000 1
La2 La 0.0000 0.0000 0.3851 1
La3 La 0.3333 0.6667 0.8822 1
Pm1 Pm 0.3333 0.6667 0.4996 1
Cd1 Cd 0.0074 0.5037 0.1937 1
Cd2 Cd 0.3281 0.1640 0.6906 1
Cd3 Cd 0.6667 0.3333 0.4417 1
Cd4 Cd 0.6667 0.3333 0.9430 1
```

An optimized crystal structure of LaPmCd14, computed with PBE.

Properties
magnetization = 0.00 μB/f.u.
crystal system = tetragonal
calculated formation energy = -2.45 eV/f.u.

Structure (CIF):
```
data_LaPmCd14
_chemical_formula_sum 'La1 Pm1 Cd14'
_cell_length_a 6.748
_cell_length_b 6.748
_cell_length_c 8.468
_cell_angle_alpha 90.00
_cell_angle_beta 90.00
_cell_angle_gamma 90.00
_space_group_name_H-M_alt 'P 4/m m m'
_space_group_IT_number 123
_space_group_name_Hall '-P 4 2'
loop_
_atom_site_label
_atom_site_type_symbol
_atom_site_fract_x
_atom_site_fract_y
_atom_site_fract_z
_atom_site_occupancy
La1 La 0.000 0.000 0.000 1
Pm1 Pm 0.500 0.500 0.000 1
Cd1 Cd 0.000 0.000 0.500 1
Cd2 Cd 0.000 0.500 0.000 1
Cd3 Cd 0.000 0.500 0.500 1
Cd4 Cd 0.253 0.253 0.264 1
Cd5 Cd 0.500 0.500 0.500 1
```

An optimized crystal structure of La8Pm2Cd, computed with PBE.

Properties
magnetization = 0.00 μB/f.u.
crystal system = monoclinic
calculated formation energy = -0.32 eV/f.u.

Structure (CIF):
```
data_La8Pm2Cd
_chemical_formula_sum 'La16 Pm4 Cd2'
_cell_length_a 18.705
_cell_length_b 5.161
_cell_length_c 8.237
_cell_angle_alpha 90.00
_cell_angle_beta 105.32
_cell_angle_gamma 90.00
_space_group_name_H-M_alt 'C 1 2/m 1'
_space_group_IT_number 12
_space_group_name_Hall '-C 2y'
loop_
_atom_site_label
_atom_site_type_symbol
_atom_site_fract_x
_atom_site_fract_y
_atom_site_fract_z
_atom_site_occupancy
La1 La 0.045 0.000 0.227 1
La2 La 0.090 0.500 0.949 1
La3 La 0.137 0.000 0.680 1
La4 La 0.177 0.500 0.411 1
Pm1 Pm 0.227 0.000 0.137 1
Cd1 Cd 0.000 0.500 0.500 1
```

An optimized crystal structure of La3PmCd, computed with PBE.

Properties
magnetization = 0.00 μB/f.u.
crystal system = orthorhombic
calculated formation energy = -0.16 eV/f.u.

Structure (CIF):
```
data_La3PmCd
_chemical_formula_sum 'La6 Pm2 Cd2'
_cell_length_a 5.404
_cell_length_b 9.218
_cell_length_c 6.851
_cell_angle_alpha 90.00
_cell_angle_beta 90.00
_cell_angle_gamma 90.00
_space_group_name_H-M_alt 'I m m 2'
_space_group_IT_number 44
_space_group_name_Hall 'I 2 -2'
loop_
_atom_site_label
_atom_site_type_symbol
_atom_site_fract_x
_atom_site_fract_y
_atom_site_fract_z
_atom_site_occupancy
La1 La 0.000 0.000 0.000 1
La2 La 0.000 0.301 0.278 1
Pm1 Pm 0.000 0.500 0.783 1
Cd1 Cd 0.000 0.000 0.543 1
```

An optimized crystal structure of La3Pm2Cd, computed with PBE.

Properties
magnetization = 0.00 μB/f.u.
crystal system = tetragonal
calculated formation energy = -0.10 eV/f.u.

Structure (CIF):
```
data_La3Pm2Cd
_chemical_formula_sum 'La3 Pm2 Cd1'
_cell_length_a 4.257
_cell_length_b 4.257
_cell_length_c 11.201
_cell_angle_alpha 90.00
_cell_angle_beta 90.00
_cell_angle_gamma 90.00
_space_group_name_H-M_alt 'P 4/m m m'
_space_group_IT_number 123
_space_group_name_Hall '-P 4 2'
loop_
_atom_site_label
_atom_site_type_symbol
_atom_site_fract_x
_atom_site_fract_y
_atom_site_fract_z
_atom_site_occupancy
La1 La 0.000 0.000 0.000 1
La2 La 0.000 0.000 0.346 1
Pm1 Pm 0.500 0.500 0.164 1
Cd1 Cd 0.500 0.500 0.500 1
```

An optimized crystal structure of La4Pm9Cd11, computed with PBE.

Properties
magnetization = 0.00 μB/f.u.
crystal system = orthorhombic
calculated formation energy = -6.12 eV/f.u.

Structure (CIF):
```
data_La4Pm9Cd11
_chemical_formula_sum 'La8 Pm18 Cd22'
_cell_length_a 16.238
_cell_length_b 23.785
_cell_length_c 3.578
_cell_angle_alpha 90.00
_cell_angle_beta 90.00
_cell_angle_gamma 90.00
_space_group_name_H-M_alt 'C m m m'
_space_group_IT_number 65
_space_group_name_Hall '-C 2 2'
loop_
_atom_site_label
_atom_site_type_symbol
_atom_site_fract_x
_atom_site_fract_y
_atom_site_fract_z
_atom_site_occupancy
La1 La 0.167 0.083 0.000 1
Pm1 Pm 0.000 0.000 0.000 1
Pm2 Pm 0.109 0.403 0.000 1
Pm3 Pm 0.116 0.226 0.000 1
Cd1 Cd 0.000 0.129 0.500 1
Cd2 Cd 0.000 0.313 0.500 1
Cd3 Cd 0.000 0.500 0.500 1
Cd4 Cd 0.202 0.500 0.500 1
Cd5 Cd 0.225 0.316 0.500 1
```

An optimized crystal structure of La7Pm12Cd, computed with PBE.

Properties
magnetization = 0.00 μB/f.u.
crystal system = trigonal
calculated formation energy = 2.94 eV/f.u.

Structure (CIF):
```
data_La7Pm12Cd
_chemical_formula_sum 'La21 Pm36 Cd3'
_cell_length_a 12.5513
_cell_length_b 12.5513
_cell_length_c 15.6373
_cell_angle_alpha 90.00
_cell_angle_beta 90.00
_cell_angle_gamma 120.00
_space_group_name_H-M_alt 'R -3'
_space_group_IT_number 148
_space_group_name_Hall '-R 3'
loop_
_atom_site_label
_atom_site_type_symbol
_atom_site_fract_x
_atom_site_fract_y
_atom_site_fract_z
_atom_site_occupancy
La1 La 0.0000 0.0000 0.0000 1
La2 La 0.0111 0.5838 0.6992 1
Pm1 Pm 0.0345 0.8489 0.8078 1
Pm2 Pm 0.0688 0.2551 0.4243 1
Cd1 Cd 0.0000 0.0000 0.5000 1
```

An optimized crystal structure of La3Pm2Cd2, computed with PBE.

Properties
magnetization = 0.00 μB/f.u.
crystal system = orthorhombic
calculated formation energy = -0.54 eV/f.u.

Structure (CIF):
```
data_La3Pm2Cd2
_chemical_formula_sum 'La6 Pm4 Cd4'
_cell_length_a 5.115
_cell_length_b 24.066
_cell_length_c 3.576
_cell_angle_alpha 90.00
_cell_angle_beta 90.00
_cell_angle_gamma 90.00
_space_group_name_H-M_alt 'C m m m'
_space_group_IT_number 65
_space_group_name_Hall '-C 2 2'
loop_
_atom_site_label
_atom_site_type_symbol
_atom_site_fract_x
_atom_site_fract_y
_atom_site_fract_z
_atom_site_occupancy
La1 La 0.000 0.000 0.000 1
La2 La 0.000 0.140 0.000 1
Pm1 Pm 0.000 0.291 0.500 1
Cd1 Cd 0.000 0.432 0.500 1
```

Question: Which of these has the highest calculated formation energy?
Answer: La7Pm12Cd